(w)
This record from Alexandria via LeMat-Bulk describes ZrPtPb2 after structural relaxation. The functional is PBEsol.

a b c (Å): 5.893 5.893 5.893
angles (deg): 145.58 129.37 62.66
Fractional coordinates of all 4 atoms:
Zr1 0.000 0.000 0.000
Pt1 0.500 0.500 0.000
Pb1 0.280 0.780 0.500
Pb2 0.720 0.220 0.500

Properties
The space-group type is Immm. For the magnetic moment, the calculation gives 0.000 μB/atom.

---

(x)
This record from Alexandria via LeMat-Bulk describes ZrPtPb2 after structural relaxation. The functional is PBEsol.

a b c (Å): 4.942 4.942 4.942
angles (deg): 60.00 60.00 60.00
Fractional coordinates of all 4 atoms:
Zr1 0.000 0.000 0.000
Pt1 0.500 0.500 0.500
Pb1 0.250 0.250 0.250
Pb2 0.750 0.750 0.750

Properties
The space-group type is Fm-3m. For the magnetic moment, the calculation gives 0.179 μB/atom.

---

Q: Which of them is the most stable? A: (w).